(1)
# NaPtPb2

A relaxed NaPtPb2 crystal (PBE-GGA, Alexandria via LeMat-Bulk).

```
data_NaPtPb2
_chemical_formula_sum 'Na2 Pt2 Pb4'
_space_group_name_H-M_alt 'P 1'
_space_group_IT_number 1
_cell_length_a 6.802
_cell_length_b 6.802
_cell_length_c 6.802
_cell_angle_alpha 101.29
_cell_angle_beta 101.29
_cell_angle_gamma 127.49
loop_
_space_group_symop_operation_xyz
'x,y,z'
loop_
_atom_site_label
_atom_site_fract_x
_atom_site_fract_y
_atom_site_fract_z
_atom_site_occupancy
Na1 0.000 0.000 0.000 1
Na2 0.750 0.250 0.500 1
Pt1 0.250 0.750 0.500 1
Pt2 0.500 0.500 0.000 1
Pb1 0.195 0.125 0.570 1
Pb2 0.375 0.805 0.930 1
Pb3 0.555 0.625 0.430 1
Pb4 0.875 0.445 0.070 1
```

## Properties
Total magnetic moment   0.000 μB per formula unit
Formation enthalpy at 0 K   -0.140 eV per atom

---

(2)
# Tb3HgSe6

A relaxed Tb3HgSe6 crystal (PBE-GGA, Alexandria via LeMat-Bulk).

```
data_Tb3HgSe6
_chemical_formula_sum 'Tb6 Hg2 Se12'
_space_group_name_H-M_alt 'P 1'
_space_group_IT_number 1
_cell_length_a 8.981
_cell_length_b 8.981
_cell_length_c 6.899
_cell_angle_alpha 90.00
_cell_angle_beta 90.00
_cell_angle_gamma 103.87
loop_
_space_group_symop_operation_xyz
'x,y,z'
loop_
_atom_site_label
_atom_site_fract_x
_atom_site_fract_y
_atom_site_fract_z
_atom_site_occupancy
Tb1 0.096 0.904 0.500 1
Tb2 0.222 0.414 0.598 1
Tb3 0.414 0.222 0.098 1
Tb4 0.586 0.778 0.598 1
Tb5 0.778 0.586 0.098 1
Tb6 0.904 0.096 0.000 1
Hg1 0.293 0.707 0.123 1
Hg2 0.707 0.293 0.623 1
Se1 0.044 0.586 0.347 1
Se2 0.128 0.196 0.297 1
Se3 0.196 0.128 0.797 1
Se4 0.272 0.728 0.746 1
Se5 0.414 0.956 0.347 1
Se6 0.470 0.530 0.305 1
Se7 0.530 0.470 0.805 1
Se8 0.586 0.044 0.847 1
Se9 0.728 0.272 0.246 1
Se10 0.804 0.872 0.297 1
Se11 0.872 0.804 0.797 1
Se12 0.956 0.414 0.847 1
```

## Properties
Total magnetic moment   0.000 μB per formula unit
Uncorrected formation energy   -1.3666 eV per atom

---

(3)
# SmAgPd2

A relaxed SmAgPd2 crystal (PBE-GGA, Alexandria via LeMat-Bulk).

```
data_SmAgPd2
_chemical_formula_sum 'Sm1 Ag1 Pd2'
_space_group_name_H-M_alt 'P 1'
_space_group_IT_number 1
_cell_length_a 4.803
_cell_length_b 4.803
_cell_length_c 4.803
_cell_angle_alpha 60.00
_cell_angle_beta 60.00
_cell_angle_gamma 60.00
loop_
_space_group_symop_operation_xyz
'x,y,z'
loop_
_atom_site_label
_atom_site_fract_x
_atom_site_fract_y
_atom_site_fract_z
_atom_site_occupancy
Sm1 0.000 0.000 0.000 1
Ag1 0.500 0.500 0.500 1
Pd1 0.250 0.250 0.250 1
Pd2 0.750 0.750 0.750 1
```

## Properties
E above lowest polymorph   57 meV per atom
Total magnetic moment   0.000 μB per formula unit
Formation enthalpy at 0 K   -0.550 eV per atom

---

(4)
# InSn2Pd7

A relaxed InSn2Pd7 crystal (PBE-GGA, Alexandria via LeMat-Bulk).

```
data_InSn2Pd7
_chemical_formula_sum 'In1 Sn2 Pd7'
_space_group_name_H-M_alt 'P 1'
_space_group_IT_number 1
_cell_length_a 7.680
_cell_length_b 7.680
_cell_length_c 4.329
_cell_angle_alpha 90.00
_cell_angle_beta 90.00
_cell_angle_gamma 122.60
loop_
_space_group_symop_operation_xyz
'x,y,z'
loop_
_atom_site_label
_atom_site_fract_x
_atom_site_fract_y
_atom_site_fract_z
_atom_site_occupancy
In1 0.000 0.000 0.000 1
Sn1 0.303 0.697 0.500 1
Sn2 0.697 0.303 0.500 1
Pd1 0.078 0.288 0.500 1
Pd2 0.198 0.802 0.000 1
Pd3 0.288 0.078 0.500 1
Pd4 0.500 0.500 0.500 1
Pd5 0.712 0.922 0.500 1
Pd6 0.802 0.198 0.000 1
Pd7 0.922 0.712 0.500 1
```

## Properties
E above lowest polymorph   339 meV per atom
Total magnetic moment   0.000 μB per formula unit
Formation enthalpy at 0 K   -0.102 eV per atom

---

(5)
# LaCrReH2

A relaxed LaCrReH2 crystal (PBE-GGA, Alexandria via LeMat-Bulk).

```
data_LaCrReH2
_chemical_formula_sum 'La1 Cr1 Re1 H2'
_space_group_name_H-M_alt 'P 1'
_space_group_IT_number 1
_cell_length_a 3.981
_cell_length_b 3.981
_cell_length_c 4.571
_cell_angle_alpha 90.00
_cell_angle_beta 90.00
_cell_angle_gamma 90.00
loop_
_space_group_symop_operation_xyz
'x,y,z'
loop_
_atom_site_label
_atom_site_fract_x
_atom_site_fract_y
_atom_site_fract_z
_atom_site_occupancy
La1 0.000 0.000 0.000 1
Cr1 0.500 0.500 0.000 1
Re1 0.500 0.500 0.500 1
H1 0.000 0.500 0.500 1
H2 0.500 0.000 0.500 1
```

## Properties
E above lowest polymorph   0 meV per atom
Total magnetic moment   1.700 μB per formula unit

---

(6)
# Sr2ReW

A relaxed Sr2ReW crystal (PBE-GGA, Alexandria via LeMat-Bulk).

```
data_Sr2ReW
_chemical_formula_sum 'Sr2 Re1 W1'
_space_group_name_H-M_alt 'P 1'
_space_group_IT_number 1
_cell_length_a 4.022
_cell_length_b 4.022
_cell_length_c 5.407
_cell_angle_alpha 90.00
_cell_angle_beta 90.00
_cell_angle_gamma 90.00
loop_
_space_group_symop_operation_xyz
'x,y,z'
loop_
_atom_site_label
_atom_site_fract_x
_atom_site_fract_y
_atom_site_fract_z
_atom_site_occupancy
Sr1 0.000 0.500 0.000 1
Sr2 0.500 0.000 0.000 1
Re1 0.000 0.000 0.500 1
W1 0.500 0.500 0.500 1
```

## Properties
E above lowest polymorph   764 meV per atom
Total magnetic moment   0.000 μB per formula unit
Formation enthalpy at 0 K   1.288 eV per atom

---

(7)
# AcPm2Ho

A relaxed AcPm2Ho crystal (PBE-GGA, Alexandria via LeMat-Bulk).

```
data_AcPm2Ho
_chemical_formula_sum 'Ac1 Pm2 Ho1'
_space_group_name_H-M_alt 'P 1'
_space_group_IT_number 1
_cell_length_a 4.191
_cell_length_b 4.191
_cell_length_c 8.295
_cell_angle_alpha 90.00
_cell_angle_beta 90.00
_cell_angle_gamma 90.00
loop_
_space_group_symop_operation_xyz
'x,y,z'
loop_
_atom_site_label
_atom_site_fract_x
_atom_site_fract_y
_atom_site_fract_z
_atom_site_occupancy
Ac1 0.000 0.000 0.000 1
Pm1 0.500 0.500 0.283 1
Pm2 0.500 0.500 0.717 1
Ho1 0.000 0.000 0.500 1
```

## Properties
E above lowest polymorph   82 meV per atom
Total magnetic moment   0.002 μB per formula unit
Formation enthalpy at 0 K   0.120 eV per atom

---

(8)
# FeCu4Au

A relaxed FeCu4Au crystal (PBE-GGA, Alexandria via LeMat-Bulk).

```
data_FeCu4Au
_chemical_formula_sum 'Fe1 Cu4 Au1'
_space_group_name_H-M_alt 'P 1'
_space_group_IT_number 1
_cell_length_a 4.830
_cell_length_b 4.830
_cell_length_c 4.830
_cell_angle_alpha 60.00
_cell_angle_beta 60.00
_cell_angle_gamma 60.00
loop_
_space_group_symop_operation_xyz
'x,y,z'
loop_
_atom_site_label
_atom_site_fract_x
_atom_site_fract_y
_atom_site_fract_z
_atom_site_occupancy
Fe1 0.000 0.000 0.000 1
Cu1 0.375 0.375 0.375 1
Cu2 0.375 0.375 0.876 1
Cu3 0.375 0.876 0.375 1
Cu4 0.876 0.375 0.375 1
Au1 0.750 0.750 0.750 1
```

## Properties
Total magnetic moment   3.119 μB per formula unit
Formation enthalpy at 0 K   0.151 eV per atom